A plane-wave DFT calculation with PBE was carried out for a relaxed structure of YCdN2F.

Values from the calculation:
energy = -5.433 eV/atom
formation energy without anion corrections = -253 meV/atom
calculated density = 4.7 g/cm³
offset from the most stable computed form = 0 meV/atom
V = 17.6 A^3/atom

The structure in POSCAR format:
```
YCdN2F
1.0
4.5383 0.0000 0.0000
0.0000 4.5383 0.0000
0.0000 0.0000 4.2739
N Cd F Y
2 1 1 1
direct
0.0000 0.5000 0.0000 N
0.5000 0.0000 0.0000 N
0.5000 0.5000 0.5000 Cd
0.0000 0.0000 0.5000 F
0.0000 0.0000 0.0000 Y
```

---

A plane-wave DFT calculation with PBE was carried out for a relaxed structure of ZnCdNF2.

Values from the calculation:
energy = -3.481 eV/atom
formation energy without anion corrections = -630 meV/atom
calculated density = 5.8 g/cm³
offset from the most stable computed form = 0 meV/atom
V = 13.2 A^3/atom

The structure in POSCAR format:
```
ZnCdNF2
1.0
-3.4188 1.8035 -0.7945
-1.9638 -2.9837 1.6773
0.1778 1.9814 3.7327
Cd N F Zn
1 1 2 1
direct
0.5000 0.5000 0.5000 Cd
0.0000 0.0000 0.5000 N
0.0000 0.5000 0.0000 F
0.5000 0.0000 0.0000 F
0.0000 0.0000 0.0000 Zn
```

---

A plane-wave DFT calculation with PBE was carried out for a relaxed structure of ZnCdNF2.

Values from the calculation:
energy = -3.013 eV/atom
formation energy without anion corrections = -162 meV/atom
calculated density = 4.5 g/cm³
offset from the most stable computed form = 468 meV/atom
V = 17.1 A^3/atom

The structure in POSCAR format:
```
ZnCdNF2
1.0
4.3636 0.0000 0.0000
0.0000 4.3636 0.0000
0.0000 0.0000 4.4806
Cd Zn N F
1 1 1 2
direct
0.0000 0.0000 0.0000 Cd
0.5000 0.5000 0.5000 Zn
0.0000 0.0000 0.5000 N
0.5000 0.0000 0.0000 F
0.0000 0.5000 0.0000 F
```

---

A plane-wave DFT calculation with PBE was carried out for a relaxed structure of ZrCdNF2.

Values from the calculation:
energy = -4.809 eV/atom
formation energy without anion corrections = -503 meV/atom
calculated density = 5.4 g/cm³
offset from the most stable computed form = 1161 meV/atom
V = 15.6 A^3/atom

The structure in POSCAR format:
```
ZrCdNF2
1.0
-3.7523 1.5653 0.7825
0.2666 -1.3185 3.9157
1.9067 3.9677 1.2062
N Zr Cd F
1 1 1 2
direct
0.0000 0.0000 0.5000 N
0.5000 0.5000 0.5000 Zr
0.0000 0.0000 0.0000 Cd
0.5000 0.0000 0.0000 F
0.0000 0.5000 0.0000 F
```

---

A plane-wave DFT calculation with PBE was carried out for a relaxed structure of ZrCdN2F.

Values from the calculation:
energy = -5.163 eV/atom
formation energy without anion corrections = 434 meV/atom
calculated density = 5.9 g/cm³
offset from the most stable computed form = 1067 meV/atom
V = 14.1 A^3/atom

The structure in POSCAR format:
```
ZrCdN2F
1.0
4.1699 0.0000 0.0000
0.0000 4.1699 0.0000
0.0000 0.0000 4.0443
N Zr F Cd
2 1 1 1
direct
0.5000 0.0000 0.0000 N
0.0000 0.5000 0.0000 N
0.5000 0.5000 0.5000 Zr
0.0000 0.0000 0.5000 F
0.0000 0.0000 0.0000 Cd
```

---

A plane-wave DFT calculation with PBE was carried out for a relaxed structure of ZrCdNF2.

Values from the calculation:
energy = -5.970 eV/atom
formation energy without anion corrections = -1664 meV/atom
calculated density = 5.4 g/cm³
offset from the most stable computed form = 0 meV/atom
V = 15.8 A^3/atom

The structure in POSCAR format:
```
ZrCdNF2
1.0
4.2917 0.0000 0.0000
0.0000 4.2917 0.0000
0.0000 0.0000 4.2829
F Zr N Cd
2 1 1 1
direct
0.5000 0.0000 0.0000 F
0.0000 0.5000 0.0000 F
0.0000 0.0000 0.0000 Zr
0.0000 0.0000 0.5000 N
0.5000 0.5000 0.5000 Cd
```

---

A plane-wave DFT calculation with PBE was carried out for a relaxed structure of ZrCdN2F.

Values from the calculation:
energy = -6.230 eV/atom
formation energy without anion corrections = -633 meV/atom
calculated density = 5.5 g/cm³
offset from the most stable computed form = 0 meV/atom
V = 15.2 A^3/atom

The structure in POSCAR format:
```
ZrCdN2F
1.0
-2.0711 1.6804 -3.3424
1.2152 -3.3111 -2.4177
-3.4334 -2.0581 1.0928
Cd Zr N F
1 1 2 1
direct
0.5000 0.5000 0.5000 Cd
0.0000 0.0000 0.0000 Zr
0.0000 0.5000 0.0000 N
0.5000 0.0000 0.0000 N
0.0000 0.0000 0.5000 F
```

---

A plane-wave DFT calculation with PBE was carried out for a relaxed structure of Na3Cd5F12.

Values from the calculation:
energy = -3.751 eV/atom
formation energy without anion corrections = -2202 meV/atom
calculated density = 4.3 g/cm³
V = 16.6 A^3/atom

The structure in POSCAR format:
```
Na3Cd5F12
1.0
-11.0588 -0.4631 -4.5908
-0.6352 -0.0967 11.9656
5.4144 10.0541 -3.6314
Cd F Na
20 48 12
direct
0.0000 0.0000 0.5000 Cd
0.7500 0.6250 0.3750 Cd
0.7500 0.1250 0.8750 Cd
0.5000 0.5000 0.0000 Cd
0.6250 0.8750 0.2500 Cd
0.8750 0.6250 0.7500 Cd
0.5000 0.0000 0.0000 Cd
0.5000 0.5000 0.5000 Cd
0.1250 0.7500 0.3750 Cd
0.2500 0.8750 0.1250 Cd
0.5000 0.0000 0.5000 Cd
0.0000 0.0000 0.0000 Cd
0.0000 0.5000 0.5000 Cd
0.2500 0.3750 0.6250 Cd
0.6250 0.7500 0.8750 Cd
0.1250 0.3750 0.2500 Cd
0.3750 0.1250 0.7500 Cd
0.8750 0.2500 0.6250 Cd
0.0000 0.5000 0.0000 Cd
0.3750 0.2500 0.1250 Cd
0.1257 0.7156 0.5421 F
0.5836 0.6257 0.4101 F
0.8264 0.9101 0.2844 F
0.4101 0.2844 0.3264 F
0.9579 0.3743 0.2844 F
0.0899 0.9164 0.3743 F
0.6257 0.5836 0.9101 F
0.4579 0.7844 0.8743 F
0.8743 0.5899 0.9164 F
0.5899 0.7156 0.6736 F
0.9579 0.5836 0.1736 F
0.5836 0.9579 0.6736 F
0.9164 0.8264 0.5421 F
0.9101 0.8264 0.7844 F
0.7844 0.4579 0.3743 F
0.5421 0.2156 0.1257 F
0.3264 0.7844 0.4101 F
0.0899 0.1736 0.2156 F
0.5899 0.8743 0.4164 F
0.1736 0.0899 0.7156 F
0.2156 0.6736 0.0899 F
0.4164 0.0421 0.3264 F
0.3743 0.4164 0.0899 F
0.4101 0.1257 0.5836 F
0.0836 0.9101 0.1257 F
0.0421 0.6257 0.7156 F
0.2156 0.5421 0.6257 F
0.9101 0.0836 0.6257 F
0.4579 0.6736 0.0836 F
0.4164 0.3743 0.5899 F
0.5421 0.3264 0.9164 F
0.9164 0.0899 0.8743 F
0.2844 0.8743 0.9579 F
0.0836 0.1736 0.4579 F
0.1257 0.4101 0.0836 F
0.6736 0.2156 0.5899 F
0.7156 0.1257 0.0421 F
0.6257 0.0421 0.2156 F
0.8264 0.9164 0.0421 F
0.8743 0.2844 0.4579 F
0.1736 0.0836 0.9579 F
0.7156 0.5899 0.1736 F
0.7844 0.3264 0.9101 F
0.3743 0.9579 0.7844 F
0.2844 0.4101 0.8264 F
0.3264 0.5421 0.4164 F
0.6736 0.4579 0.5836 F
0.0421 0.4164 0.8264 F
0.7500 0.8750 0.6250 Na
0.3750 0.6250 0.2500 Na
0.8750 0.1250 0.2500 Na
0.6250 0.2500 0.3750 Na
0.2500 0.1250 0.3750 Na
0.3750 0.7500 0.6250 Na
0.6250 0.3750 0.7500 Na
0.1250 0.8750 0.7500 Na
0.8750 0.7500 0.1250 Na
0.1250 0.2500 0.8750 Na
0.7500 0.3750 0.1250 Na
0.2500 0.6250 0.8750 Na
```

---

A plane-wave DFT calculation with PBE was carried out for a relaxed structure of Na6CdF12.

Values from the calculation:
energy = -3.698 eV/atom
formation energy without anion corrections = -2052 meV/atom
calculated density = 2.8 g/cm³
V = 14.9 A^3/atom

The structure in POSCAR format:
```
Na6CdF12
1.0
-6.3970 -0.0898 -1.9278
0.4764 -6.0962 2.6935
-0.5232 3.6756 5.5554
F Na Cd
12 6 1
direct
0.3166 0.9495 0.0644 F
0.4737 0.1430 0.5546 F
0.1430 0.5546 0.4737 F
0.8570 0.4454 0.5263 F
0.0644 0.3166 0.9495 F
0.6834 0.0505 0.9356 F
0.5546 0.4737 0.1430 F
0.4454 0.5263 0.8570 F
0.5263 0.8570 0.4454 F
0.9495 0.0644 0.3166 F
0.9356 0.6834 0.0505 F
0.0505 0.9356 0.6834 F
0.8484 0.7364 0.3796 Na
0.7364 0.3796 0.8484 Na
0.6204 0.1516 0.2636 Na
0.3796 0.8484 0.7364 Na
0.2636 0.6204 0.1516 Na
0.1516 0.2636 0.6204 Na
0.0000 0.0000 0.0000 Cd
```

---

A plane-wave DFT calculation with PBE was carried out for a relaxed structure of NaCdF4.

Values from the calculation:
energy = -3.602 eV/atom
formation energy without anion corrections = -1983 meV/atom
calculated density = 4.3 g/cm³
offset from the most stable computed form = 4 meV/atom
V = 13.7 A^3/atom

The structure in POSCAR format:
```
NaCdF4
1.0
5.7501 0.0000 0.0000
0.0000 5.7501 0.0000
-2.8750 -2.8750 4.9697
Cd F Na
2 8 2
direct
0.5000 0.5000 0.0000 Cd
0.2500 0.7500 0.5000 Cd
0.6145 0.6250 0.7500 F
0.6145 0.1250 0.7500 F
0.8750 0.8645 0.2500 F
0.1355 0.1250 0.7500 F
0.8750 0.3855 0.2500 F
0.3750 0.3855 0.2500 F
0.3750 0.8645 0.2500 F
0.1355 0.6250 0.7500 F
0.7500 0.2500 0.5000 Na
0.0000 0.0000 0.0000 Na
```

---

A plane-wave DFT calculation with PBE was carried out for a relaxed structure of Na4Cd2F9.

Values from the calculation:
energy = -3.928 eV/atom
formation energy without anion corrections = -2332 meV/atom
calculated density = 3.6 g/cm³
V = 15.0 A^3/atom

The structure in POSCAR format:
```
Na4Cd2F9
1.0
5.7971 0.0010 0.0122
2.8982 5.0206 0.0316
-0.0330 -0.0784 15.4573
F Cd Na
18 4 8
direct
0.6424 0.0354 0.0851 F
0.3571 0.6782 0.4149 F
0.3576 0.9646 0.9149 F
0.0003 0.2817 0.7501 F
0.2821 0.7180 0.7501 F
0.7179 0.2820 0.2499 F
0.6429 0.3218 0.5851 F
0.9647 0.6781 0.9149 F
0.6781 0.3574 0.9149 F
0.7184 0.9999 0.7501 F
0.0353 0.3219 0.0851 F
0.3219 0.6426 0.0851 F
0.3222 0.0353 0.5852 F
0.6778 0.9647 0.4148 F
0.0355 0.6425 0.5852 F
0.9997 0.7183 0.2499 F
0.2816 0.0001 0.2499 F
0.9645 0.3575 0.4148 F
0.0003 0.9999 0.6442 Cd
0.9997 0.0001 0.3558 Cd
0.9998 0.0000 0.1441 Cd
0.0002 0.0000 0.8559 Cd
0.3331 0.3334 0.1878 Na
0.6666 0.6667 0.0187 Na
0.3336 0.3332 0.6879 Na
0.6667 0.6666 0.5187 Na
0.3333 0.3334 0.4813 Na
0.6669 0.6666 0.8122 Na
0.6664 0.6668 0.3121 Na
0.3334 0.3333 0.9813 Na
```

---

A plane-wave DFT calculation with PBE was carried out for a relaxed structure of Na3Cd2F8.

Values from the calculation:
energy = -3.825 eV/atom
formation energy without anion corrections = -2228 meV/atom
calculated density = 3.5 g/cm³
V = 16.5 A^3/atom

The structure in POSCAR format:
```
Na3Cd2F8
1.0
0.4937 5.6229 0.1559
0.0844 1.9364 6.5411
5.9756 1.5196 2.9200
F Cd Na
8 2 3
direct
0.8336 0.6316 0.6316 F
0.2153 0.3589 0.9069 F
0.1664 0.3684 0.3684 F
0.7740 0.1182 0.1182 F
0.7847 0.6411 0.0931 F
0.7847 0.0931 0.6411 F
0.2260 0.8818 0.8818 F
0.2153 0.9069 0.3589 F
0.9364 0.2580 0.2580 Cd
0.0636 0.7420 0.7420 Cd
0.0000 0.7444 0.2556 Na
0.0000 0.2556 0.7444 Na
0.5000 0.0000 0.0000 Na
```

---

A plane-wave DFT calculation with PBE was carried out for a relaxed structure of NaCdF2.

Values from the calculation:
energy = -3.455 eV/atom
formation energy without anion corrections = -1961 meV/atom
calculated density = 3.8 g/cm³
offset from the most stable computed form = 66 meV/atom
V = 19.0 A^3/atom

The structure in POSCAR format:
```
NaCdF2
1.0
5.5241 0.0000 0.0000
0.0000 5.5241 0.0000
2.7621 2.7621 4.9784
Na F Cd
2 4 2
direct
0.5000 0.5000 0.0000 Na
0.2500 0.7500 0.5000 Na
0.3750 0.3969 0.7500 F
0.1469 0.6250 0.2500 F
0.8750 0.8531 0.7500 F
0.6031 0.1250 0.2500 F
0.7500 0.2500 0.5000 Cd
0.0000 0.0000 0.0000 Cd
```

---

A plane-wave DFT calculation with PBE was carried out for a relaxed structure of Na5Cd3F12.

Values from the calculation:
energy = -3.929 eV/atom
formation energy without anion corrections = -2339 meV/atom
calculated density = 3.9 g/cm³
offset from the most stable computed form = 0 meV/atom
V = 14.4 A^3/atom

The structure in POSCAR format:
```
Na5Cd3F12
1.0
-0.7687 3.3579 -0.6718
-7.7573 -0.6009 5.8729
8.6452 2.7003 3.6051
F Na Cd
12 5 3
direct
0.0000 0.0000 0.8119 F
0.0000 0.5200 0.0000 F
0.0000 0.8119 0.0000 F
0.5000 0.7432 0.5477 F
0.5000 0.1955 0.4523 F
0.5000 0.8045 0.2568 F
0.5000 0.2568 0.8045 F
0.0000 0.1881 0.1881 F
0.5000 0.4523 0.1955 F
0.0000 0.4800 0.4800 F
0.0000 0.0000 0.5200 F
0.5000 0.5477 0.7432 F
0.0000 0.6667 0.3333 Na
0.0000 0.3333 0.6667 Na
0.0000 0.7139 0.7139 Na
0.0000 0.2861 0.0000 Na
0.0000 0.0000 0.2861 Na
0.5000 0.3381 0.3381 Cd
0.5000 0.0000 0.6619 Cd
0.5000 0.6619 0.0000 Cd
```

---

A plane-wave DFT calculation with PBE was carried out for a relaxed structure of NaCdF2.

Values from the calculation:
energy = -3.522 eV/atom
formation energy without anion corrections = -2027 meV/atom
calculated density = 4.6 g/cm³
offset from the most stable computed form = 0 meV/atom
V = 15.8 A^3/atom

The structure in POSCAR format:
```
NaCdF2
1.0
-2.4913 -1.8142 -1.3406
2.7175 0.0113 -5.0653
3.1076 -5.5045 1.6748
Na F Cd
2 4 2
direct
0.0322 0.2266 0.7371 Na
0.5320 0.7266 0.7371 Na
0.5323 0.3919 0.9097 F
0.0322 0.5587 0.5070 F
0.0320 0.8919 0.9096 F
0.5320 0.0587 0.5070 F
0.5323 0.3877 0.2577 Cd
0.0321 0.8877 0.2577 Cd
```

---

A plane-wave DFT calculation with PBE was carried out for a relaxed structure of NaCd4F10.

Values from the calculation:
energy = -3.684 eV/atom
formation energy without anion corrections = -2104 meV/atom
calculated density = 5.3 g/cm³
V = 13.8 A^3/atom

The structure in POSCAR format:
```
NaCd4F10
1.0
-2.2180 2.0519 2.4680
-3.8869 -0.2906 -0.1680
-1.5925 -11.2570 11.0114
F Cd Na
10 4 1
direct
0.3514 0.3514 0.9457 F
0.0519 0.0519 0.8443 F
0.8501 0.8501 0.4496 F
0.5503 0.5503 0.3492 F
0.4497 0.4497 0.6508 F
0.1499 0.1499 0.5504 F
0.6486 0.6486 0.0543 F
0.9481 0.9481 0.1557 F
0.2498 0.2498 0.2506 F
0.7502 0.7502 0.7494 F
0.7999 0.7999 0.6004 Cd
0.3995 0.3995 0.8016 Cd
0.2001 0.2001 0.3996 Cd
0.6005 0.6005 0.1984 Cd
0.0000 0.0000 0.0000 Na
```

---

A plane-wave DFT calculation with PBE was carried out for a relaxed structure of NaCd3F8.

Values from the calculation:
energy = -3.677 eV/atom
formation energy without anion corrections = -2090 meV/atom
calculated density = 5.2 g/cm³
V = 13.7 A^3/atom

The structure in POSCAR format:
```
NaCd3F8
1.0
-1.4386 4.9622 -1.8067
-4.0046 -2.2458 -2.9795
-3.4426 0.5387 4.2209
F Na Cd
8 1 3
direct
0.7459 0.7459 0.2541 F
0.2541 0.7459 0.7459 F
0.2541 0.7459 0.2541 F
0.2541 0.2541 0.2541 F
0.2541 0.2541 0.7459 F
0.7459 0.2541 0.2541 F
0.7459 0.7459 0.7459 F
0.7459 0.2541 0.7459 F
0.0000 0.0000 0.0000 Na
0.5000 0.5000 0.0000 Cd
0.0000 0.5000 0.5000 Cd
0.5000 0.0000 0.5000 Cd
```